Compound: Ba2HPbAu
Source: the Alexandria database
Functional: GGA-PBE
Structure: optimized geometry

Cell: 6.0296 6.0296 4.0340 Å, 90.00 90.00 90.00°
Closest atoms and distances in Å follow each position.
Sites, in units of the cell vectors:
Ba (0.0000, 0.5000, 0.0000)  2 H 3.01
Ba (0.5000, 0.0000, 0.0000)  2 H 3.01
H (0.0000, 0.0000, 0.0000)  2 Au 2.02
Pb (0.5000, 0.5000, 0.5000)  8 Ba 3.63, 2 Pb 4.03
Au (0.0000, 0.0000, 0.5000)  2 H 2.02

Calculated values
Space group ... P4/mmm, No. 123
Uncorrected energy ... -16.6 eV per formula unit
Density of states at the Fermi level ... 0.421 states/eV/atom